BaCuN2F: optimized geometry, PBE.

As for the electronic total energy: -5.2145 eV per atom. The total magnetic moment is 2.0 μB per cell. The calculation puts the energy relative to the lowest polymorph listed for this composition at 0 meV/atom. As for the formation energy without anion corrections: -0.31 eV/atom.

The structure belongs to space group P4/mmm (No. 123); the cell edges are 3.8080, 3.8080 and 5.0354 Å and the angles 90.00°, 90.00° and 90.00°. The asymmetric unit holds Ba at (0.0000, 0.0000, 0.0000), Cu at (0.5000, 0.5000, 0.5000), N at (0.0000, 0.5000, 0.5000) and F at (0.5000, 0.5000, 0.0000).